Entry 1:
Here is a relaxed Nb3FeB7 crystal from Alexandria. Energies are from PBE.

```
data_Nb3FeB7
_chemical_formula_sum 'Nb12 Fe4 B28'
_symmetry_space_group_name_H-M 'C m c m'
_symmetry_Int_Tables_number 63
_symmetry_space_group_name_Hall '-C 2c 2'
_cell_length_a 3.1836
_cell_length_b 14.4213
_cell_length_c 8.8064
_cell_angle_alpha 90.00
_cell_angle_beta 90.00
_cell_angle_gamma 90.00
loop_
_atom_site_label
_atom_site_fract_x
_atom_site_fract_y
_atom_site_fract_z
Nb1 0.0000 0.1067 0.0544
Nb2 0.0000 0.2471 0.7500
Fe1 0.0000 0.0489 0.7500
B1 0.0000 0.2729 0.0328
B2 0.0000 0.3684 0.1512
B3 0.0000 0.4341 0.7500
B4 0.0000 0.4852 0.0946
```



Entry 2:
# NbFe3B, relaxed, DFT PBE
# polymorph energy (0 for the lowest one)	0	meV/atom
data_NbFe3B
_chemical_formula_sum 'Nb1 Fe3 B1'
_symmetry_space_group_name_H-M 'P m -3 m'
_symmetry_Int_Tables_number 221
_symmetry_space_group_name_Hall '-P 4 2 3'
_cell_length_a 3.8169
_cell_length_b 3.8169
_cell_length_c 3.8169
_cell_angle_alpha 90.00
_cell_angle_beta 90.00
_cell_angle_gamma 90.00
loop_
_atom_site_label
_atom_site_fract_x
_atom_site_fract_y
_atom_site_fract_z
Nb1 0.0000 0.0000 0.0000
Fe1 0.0000 0.5000 0.5000
B1 0.5000 0.5000 0.5000



Number 1: energy relative to the elements -0.649 eV/atom. Number 2: energy relative to the elements -0.147 eV/atom.